Model P:
{"formula": "NaTbCd2", "functional": "PBE-GGA", "state": "relaxed", "dos_at_fermi_per_ev_fu": 2.78, "spacegroup": "Fm-3m (225)", "cell": [[0.000, 3.700, 3.700], [3.700, 0.000, 3.700], [3.700, 3.700, 0.000]], "species": ["Na", "Tb", "Cd", "Cd"], "fractional_positions": [[0.000, 0.000, 0.000], [0.500, 0.500, 0.500], [0.250, 0.250, 0.250], [0.750, 0.750, 0.750]]}

---

Model Q:
{"formula": "NaTbCd2", "functional": "PBE-GGA", "state": "relaxed", "dos_at_fermi_per_ev_fu": 2.28, "spacegroup": "P4/mmm (123)", "cell": [[5.501, 0.000, 0.000], [0.000, 5.501, 0.000], [0.000, 0.000, 3.456]], "species": ["Na", "Tb", "Cd", "Cd"], "fractional_positions": [[0.000, 0.000, 0.000], [0.500, 0.500, 0.000], [0.000, 0.500, 0.500], [0.500, 0.000, 0.500]]}

---

Which of them is most stable? Easy: model Q.